Entry 1:
First-principles (GGA-PBE) data for a relaxed structure of Tb2YH, as listed in Alexandria via LeMat-Bulk.

Geometry as extended XYZ:
```
4
Lattice="3.364 0.000 0.000 0.000 3.364 0.000 0.000 0.000 8.496" Properties=species:S:1:pos:R:3 pbc="T T T"
Tb 0.000 0.000 1.619
Tb 0.000 0.000 6.877
Y 1.682 1.682 4.248
H 1.682 1.682 0.000
```

## Properties
VASP energy, Ry per atom: -0.3425
Energy relative to the lowest polymorph listed for this composition, meV/atom: 294


Entry 2:
First-principles (GGA-PBE) data for a relaxed structure of TlNi2PdSe, as listed in Alexandria via LeMat-Bulk.

Geometry as extended XYZ:
```
5
Lattice="4.806 0.000 0.000 0.000 4.806 0.000 0.000 0.000 4.750" Properties=species:S:1:pos:R:3 pbc="T T T"
Tl 0.000 0.000 0.000
Ni 0.000 2.403 2.375
Ni 2.403 0.000 2.375
Pd 2.403 2.403 2.375
Se 2.403 2.403 0.000
```

## Properties
VASP energy, Ry per atom: -0.2837


| no. | V (Å³/atom) | spin magnetization (μB per formula unit) |
| --- | --- | --- |
| 1 | 24.0 | 0.000 |
| 2 | 21.9 | 1.542 |